GGA+U Li7Mn2Co3O12, relaxed; total DFT energy (no corrections) = -5.879 eV/atom
1.0
-4.7942 1.0914 -3.2548
-2.1393 -4.3043 4.3943
1.7002 4.6714 4.2944
Li Co O Mn
7 3 12 2
Cartesian
-4.8387 -1.1488 2.6124
-0.2195 0.1835 4.3443
-2.3709 -1.7304 4.2656
-0.5404 2.7661 5.6780
-2.8623 3.1889 1.1683
-4.6929 -1.3076 -0.2440
-0.3945 2.6073 2.8216
-2.5435 0.6167 -0.1349
-2.6166 0.7292 2.7170
-2.6897 0.8418 5.5688
-3.3920 -2.9573 2.8464
0.6943 3.8158 4.2783
-1.3765 1.5267 1.3100
-3.8467 2.0834 -0.4564
-3.5175 -0.2415 1.2312
-5.9276 -2.3573 1.1556
-1.7157 1.7000 4.2027
-1.8413 4.4158 2.5875
-4.0298 2.1952 2.6680
-1.2035 -0.7367 2.7659
-1.3866 -0.6249 5.8903
-3.8568 -0.0682 4.1239
-0.0748 0.0756 1.4736
-5.1584 1.3829 3.9603